No. 1
Compound: CdFeSe2
Source: the Alexandria database
Functional: PBE
Structure: relaxed

Computed properties:
formation energy without anion corrections = -0.148 eV per atom
final energy = -4.235 eV per atom
space-group type = P4mm, No. 99
D(E_F) = 4.4 states/eV/cell
magnetic moment = 0.95 μB per atom

abc: 3.671 3.671 6.657
angles: 90.00 90.00 90.00
Site moments in Bohr magnetons follow the coordinates.
Atoms (fractional coordinates):
Se1 0.000 0.000 0.908  0.12
Se2 0.500 0.500 0.459  0.12
Fe1 0.500 0.500 0.823  3.26
Cd1 0.000 0.000 0.311  0.01

=====

No. 2
Compound: CdFeSe2
Source: the Alexandria database
Functional: PBE
Structure: relaxed

Computed properties:
formation energy without anion corrections = 0.558 eV per atom
final energy = -3.529 eV per atom
space-group type = F-43m, No. 216
D(E_F) = 5.8 states/eV/cell
magnetic moment = 0.81 μB per atom

abc: 4.822 4.822 4.822
angles: 60.00 60.00 60.00
Site moments in Bohr magnetons follow the coordinates.
Atoms (fractional coordinates):
Cd1 0.500 0.500 0.500  -0.03
Se1 0.000 0.000 0.000  0.05
Se2 0.250 0.250 0.250  0.04
Fe1 0.750 0.750 0.750  3.05

=====

No. 3
Compound: Cd2FeSe
Source: the Alexandria database
Functional: PBE
Structure: relaxed

Computed properties:
formation energy without anion corrections = 0.315 eV per atom
final energy = -3.129 eV per atom
space-group type = I-4m2, No. 119
D(E_F) = 3.7 states/eV/cell
magnetic moment = 0.68 μB per atom

abc: 5.417 5.417 5.417
angles: 135.24 135.24 65.15
Site moments in Bohr magnetons follow the coordinates.
Atoms (fractional coordinates):
Cd1 0.000 0.000 0.000  -0.05
Cd2 0.250 0.750 0.500  -0.04
Fe1 0.500 0.500 0.000  2.80
Se1 0.750 0.250 0.500  0.02

=====

No. 4
Compound: CdFe2Se2
Source: the Alexandria database
Functional: PBE
Structure: relaxed

Computed properties:
formation energy without anion corrections = 0.338 eV per atom
final energy = -4.624 eV per atom
space-group type = P4/mbm, No. 127
relative energy among the computed polymorphs = 0.69 eV/f.u.
D(E_F) = 15.1 states/eV/cell
magnetic moment = 0.00 μB per atom

abc: 7.166 7.166 3.072
angles: 90.00 90.00 90.00
Atoms (fractional coordinates):
Cd1 0.500 0.500 0.000
Cd2 0.000 0.000 0.000
Se1 0.147 0.647 0.500
Se2 0.353 0.147 0.500
Se3 0.853 0.353 0.500
Se4 0.647 0.853 0.500
Fe1 0.628 0.128 0.000
Fe2 0.872 0.628 0.000
Fe3 0.128 0.372 0.000
Fe4 0.372 0.872 0.000

=====

No. 5
Compound: Cd2FeSe
Source: the Alexandria database
Functional: PBE
Structure: relaxed

Computed properties:
formation energy without anion corrections = 0.320 eV per atom
final energy = -3.124 eV per atom
space-group type = I4/mmm, No. 139
D(E_F) = 3.6 states/eV/cell
magnetic moment = 0.75 μB per atom

abc: 5.791 5.791 5.791
angles: 140.30 140.30 57.40
Site moments in Bohr magnetons follow the coordinates.
Atoms (fractional coordinates):
Cd1 0.000 0.000 0.000  -0.03
Cd2 0.500 0.500 0.000  -0.03
Se1 0.750 0.250 0.500  0.08
Fe1 0.250 0.750 0.500  2.95

=====

No. 6
Compound: CdFeSe2
Source: the Alexandria database
Functional: PBE
Structure: relaxed

Computed properties:
formation energy without anion corrections = -0.173 eV per atom
final energy = -4.259 eV per atom
space-group type = R-3m, No. 166
D(E_F) = 3.5 states/eV/cell
magnetic moment = 0.90 μB per atom

abc: 3.752 3.752 7.045
angles: 74.55 74.55 59.92
Site moments in Bohr magnetons follow the coordinates.
Atoms (fractional coordinates):
Fe1 0.250 0.250 0.250  3.16
Cd1 0.750 0.750 0.750  0.01
Se1 0.989 0.989 0.032  0.10
Se2 0.511 0.511 0.468  0.10